A plane-wave DFT calculation with PBE was carried out for crystalline RbHfAu3 at its relaxed geometry.

Cell: 5.444 5.444 5.444 Å, 90.00 90.00 90.00°
Fractional coordinates of all 5 atoms:
1 Au 0.000 0.500 0.000
2 Au 0.000 0.000 0.500
3 Au 0.500 0.000 0.000
4 Hf 0.500 0.500 0.500
5 Rb 0.000 0.000 0.000

- energy relative to the elements (meV per atom) = 1608
- E above lowest polymorph (kcal/mol of atoms) = 36.139

=====

A plane-wave DFT calculation with PBE was carried out for crystalline RbHf2Au2 at its relaxed geometry.

Cell: 8.735 8.735 3.047 Å, 90.00 90.00 90.00°
Fractional coordinates of all 10 atoms:
1 Rb 0.500 0.500 0.000
2 Rb 0.000 0.000 0.000
3 Au 0.331 0.169 0.500
4 Au 0.831 0.331 0.500
5 Au 0.169 0.669 0.500
6 Au 0.669 0.831 0.500
7 Hf 0.622 0.122 0.000
8 Hf 0.878 0.622 0.000
9 Hf 0.122 0.378 0.000
10 Hf 0.378 0.878 0.000

- energy relative to the elements (meV per atom) = 21
- E above lowest polymorph (kcal/mol of atoms) = 0.000

=====

A plane-wave DFT calculation with PBE was carried out for crystalline Rb2HfAuS4 at its relaxed geometry.

Cell: 6.051 7.595 12.622 Å, 84.52 76.13 66.52°
Fractional coordinates of all 16 atoms:
1 Au 0.250 0.500 0.500
2 Au 0.500 0.000 0.000
3 S 0.472 0.700 0.391
4 S 0.138 0.300 0.391
5 S 0.828 0.700 0.609
6 S 0.278 0.800 0.109
7 S 0.187 0.200 0.891
8 S 0.563 0.300 0.609
9 S 0.922 0.800 0.891
10 S 0.612 0.200 0.109
11 Rb 0.929 0.500 0.141
12 Rb 0.821 0.000 0.359
13 Rb 0.571 0.500 0.859
14 Rb 0.179 0.000 0.641
15 Hf 0.000 0.000 0.000
16 Hf 0.750 0.500 0.500

- VASP energy (eV per atom) = -4.967

=====

A plane-wave DFT calculation with PBE was carried out for crystalline RbHfScAu2 at its relaxed geometry.

Cell: 5.209 5.586 5.209 Å, 90.00 90.00 90.00°
Fractional coordinates of all 5 atoms:
1 Sc 0.500 0.500 0.500
2 Au 0.000 0.000 0.500
3 Au 0.500 0.000 0.000
4 Rb 0.000 0.500 0.000
5 Hf 0.000 0.000 0.000

- energy relative to the elements (meV per atom) = 903

=====

A plane-wave DFT calculation with PBE was carried out for crystalline RbHfTe4Au at its relaxed geometry.

Cell: 7.331 6.286 10.758 Å, 90.00 114.11 90.00°
Fractional coordinates of all 14 atoms:
1 Te 0.028 0.513 0.677
2 Te 0.444 0.750 0.576
3 Te 0.972 0.013 0.323
4 Te 0.972 0.487 0.323
5 Te 0.556 0.250 0.424
6 Te 0.463 0.750 0.137
7 Te 0.028 0.987 0.677
8 Te 0.537 0.250 0.863
9 Rb 0.799 0.750 0.949
10 Rb 0.201 0.250 0.051
11 Hf 0.722 0.750 0.433
12 Hf 0.278 0.250 0.567
13 Au 0.731 0.250 0.705
14 Au 0.269 0.750 0.295

- VASP energy (eV per atom) = -4.346

=====

A plane-wave DFT calculation with PBE was carried out for crystalline RbHfTe4Au2 at its relaxed geometry.

Cell: 6.507 7.553 7.553 Å, 76.82 64.49 64.49°
Fractional coordinates of all 8 atoms:
1 Hf 0.500 0.500 0.500
2 Te 0.871 0.521 0.143
3 Te 0.466 0.143 0.521
4 Te 0.129 0.857 0.479
5 Te 0.534 0.479 0.857
6 Au 0.141 0.359 0.359
7 Au 0.859 0.641 0.641
8 Rb 0.000 0.000 0.000

- VASP energy (eV per atom) = -4.183

=====

A plane-wave DFT calculation with PBE was carried out for crystalline Rb2HfWAu at its relaxed geometry.

Cell: 7.013 4.877 7.013 Å, 90.00 90.00 90.00°
Fractional coordinates of all 5 atoms:
1 W 0.000 0.500 0.000
2 Rb 0.500 0.000 0.000
3 Rb 0.000 0.000 0.500
4 Au 0.500 0.500 0.500
5 Hf 0.000 0.000 0.000

- energy relative to the elements (meV per atom) = 1658

=====

A plane-wave DFT calculation with PBE was carried out for crystalline Hf4ReAu2 at its relaxed geometry.

Cell: 4.990 4.990 7.665 Å, 71.00 71.00 90.00°
Fractional coordinates of all 7 atoms:
1 Hf 0.188 0.188 0.624
2 Hf 0.500 0.000 0.000
3 Hf 0.812 0.812 0.376
4 Hf 0.000 0.500 0.000
5 Au 0.386 0.386 0.228
6 Au 0.614 0.614 0.772
7 Re 0.000 0.000 0.000

- energy relative to the elements (meV per atom) = 336

=====

no.,ρ (g/cm³),calculated volume (Å³/cell)
1,8.80,161.32
2,11.95,232.49
3,4.34,516.53
4,7.70,151.54
5,7.13,452.50
6,6.42,301.96
7,5.06,239.83
8,12.68,169.45